P.
The following is a GGA-PBE calculation of a relaxed AcNiSn3 crystal, from Alexandria.

a = 4.9642 Å, b = 4.9716 Å, c = 20.8676 Å
α = 90.00°, β = 90.00°, γ = 90.00°
Space group Imma (No. 74)
One atom of each set of equivalent atoms:
Ac: 0.0000 0.2500 0.1651
Ni: 0.0000 0.2500 0.5866
Sn: 0.0000 0.2500 0.4524
Sn: 0.0000 0.2500 0.7091
Sn: 0.0000 0.2500 0.9532

Values from the calculation:
The total magnetic moment comes out at 0.0 Bohr magnetons per cell.

Q.
The following is a GGA-PBE calculation of a relaxed AcNiSn3 crystal, from Alexandria.

a = 6.9146 Å, b = 6.9070 Å, c = 6.3573 Å
α = 90.00°, β = 122.75°, γ = 90.00°
Space group Cm (No. 8)
One atom of each set of equivalent atoms:
Ac: 0.0000 0.0000 0.0000
Ni: 0.1745 0.5000 0.3470
Sn: 0.0083 0.2496 0.5151
Sn: 0.4374 0.0000 0.8737

Values from the calculation:
The total magnetic moment comes out at 0.0 Bohr magnetons per cell.

Which of the structures shown above is the most stable? The most stable is Q.